(1)
First-principles (PBE-GGA) data for FeMo2Br after structural relaxation, as listed in Alexandria via LeMat-Bulk.

Values from the calculation:
Space group = No. 8
Fermi-level density of states = 0.85 states/eV per atom
ΔE to the lowest computed polymorph = 273.4 meV per atom
Raw total energy = -28.93 eV per cell
Raw formation energy = 717 meV/atom

abc: 4.852 4.852 4.670
angles: 73.74 73.74 35.41
Each line ends with the local moment (μB).
Fractional coordinates of all 4 atoms:
Mo: 0.759 0.759 0.715  -0.11
Mo: 0.977 0.977 0.073  -0.22
Br: 0.512 0.512 0.522  0.01
Fe: 0.252 0.252 0.189  1.68



(2)
First-principles (PBE-GGA) data for Cd3NF after structural relaxation, as listed in Alexandria via LeMat-Bulk.

Values from the calculation:
Space group = No. 221
Fermi-level density of states = 0.20 states/eV per atom
ΔE to the lowest computed polymorph = 0.0 meV per atom
Raw total energy = -13.33 eV per cell
Raw formation energy = -77 meV/atom

abc: 4.621 4.621 4.621
angles: 90.00 90.00 90.00
Fractional coordinates of all 5 atoms:
Cd: 0.500 0.000 0.000
Cd: 0.000 0.500 0.000
Cd: 0.000 0.000 0.500
F: 0.500 0.500 0.500
N: 0.000 0.000 0.000



(3)
First-principles (PBE-GGA) data for ReAsBr2O after structural relaxation, as listed in Alexandria via LeMat-Bulk.

Values from the calculation:
Space group = No. 123
Fermi-level density of states = 0.37 states/eV per atom
ΔE to the lowest computed polymorph = 307.1 meV per atom
Raw total energy = -18.76 eV per cell
Raw formation energy = 1328 meV/atom

abc: 4.701 4.701 4.462
angles: 90.00 90.00 90.00
Each line ends with the local moment (μB).
Fractional coordinates of all 5 atoms:
As: 0.000 0.000 0.500  -0.17
Re: 0.500 0.500 0.500  3.53
Br: 0.500 0.000 0.000  0.08
Br: 0.000 0.500 0.000  0.08
O: 0.000 0.000 0.000  -0.02



(4)
First-principles (PBE-GGA) data for Tb8Mg2Al after structural relaxation, as listed in Alexandria via LeMat-Bulk.

Values from the calculation:
Space group = No. 12
Fermi-level density of states = 1.26 states/eV per atom
Energy of formation from the pure elements = 85.3 meV per atom
Raw total energy = -43.04 eV per cell

abc: 5.461 8.764 8.764
angles: 120.50 101.95 101.95
Fractional coordinates of all 11 atoms:
Al: 0.500 0.000 0.000
Tb: 0.874 0.903 0.679
Tb: 0.126 0.097 0.321
Tb: 0.700 0.392 0.392
Tb: 0.300 0.608 0.608
Tb: 0.500 0.206 0.794
Tb: 0.126 0.321 0.097
Tb: 0.500 0.794 0.206
Tb: 0.874 0.679 0.903
Mg: 0.000 0.695 0.305
Mg: 0.000 0.305 0.695



(5)
First-principles (PBE-GGA) data for Si2IrAu after structural relaxation, as listed in Alexandria via LeMat-Bulk.

Values from the calculation:
Space group = No. 6
Fermi-level density of states = 0.32 states/eV per atom
ΔE to the lowest computed polymorph = 0.0 meV per atom
Raw total energy = -23.83 eV per cell
Raw formation energy = -211 meV/atom

abc: 4.754 3.056 4.711
angles: 70.84 90.00 90.00
Fractional coordinates of all 4 atoms:
Au: 0.000 0.212 0.447
Ir: 0.500 0.029 0.819
Si: 0.500 0.319 0.235
Si: 0.000 0.939 0.999



(6)
First-principles (PBE-GGA) data for PaVTc after structural relaxation, as listed in Alexandria via LeMat-Bulk.

Values from the calculation:
Space group = No. 187
Fermi-level density of states = 0.88 states/eV per atom
Energy of formation from the pure elements = 130.1 meV per atom
ΔE to the lowest computed polymorph = 0.0 meV per atom
Raw total energy = -57.18 eV per cell

abc: 4.490 4.490 5.841
angles: 90.00 90.00 59.99
Fractional coordinates of all 6 atoms:
V: 0.765 0.766 0.250
V: 0.766 0.765 0.750
Tc: 0.432 0.432 0.000
Tc: 0.432 0.432 0.500
Pa: 0.099 0.099 0.750
Pa: 0.099 0.099 0.250



(7)
First-principles (PBE-GGA) data for Ti2Tl5F12 after structural relaxation, as listed in Alexandria via LeMat-Bulk.

Values from the calculation:
Space group = No. 12
Fermi-level density of states = 0.04 states/eV per atom
Raw total energy = -97.41 eV per cell
Raw formation energy = -2491 meV/atom

abc: 6.230 7.849 8.899
angles: 86.50 90.00 113.38
Each line ends with the local moment (μB).
Fractional coordinates of all 19 atoms:
Tl: 0.713 0.427 0.222  0.00
Tl: 0.298 0.597 0.361  0.00
Tl: 0.000 0.000 0.500  0.00
Tl: 0.702 0.403 0.639  0.00
Tl: 0.287 0.573 0.778  0.00
F: 0.130 0.745 0.020  -0.01
F: 0.505 0.009 0.152  0.01
F: 0.495 0.991 0.848  0.01
F: 0.903 0.308 0.432  0.00
F: 0.385 0.255 0.980  -0.01
F: 0.001 0.002 0.140  0.00
F: 0.870 0.255 0.980  -0.01
F: 0.097 0.692 0.568  0.00
F: 0.594 0.692 0.568  0.00
F: 0.615 0.745 0.020  -0.01
F: 0.406 0.308 0.432  0.00
F: 0.999 0.998 0.860  0.00
Ti: 0.257 0.000 0.000  0.47
Ti: 0.743 0.000 0.000  0.47



(8)
First-principles (PBE-GGA) data for NaLiPdCl6 after structural relaxation, as listed in Alexandria via LeMat-Bulk.

Values from the calculation:
Space group = No. 102
Raw total energy = -56.06 eV per cell
Raw formation energy = -947 meV/atom

abc: 6.167 6.167 11.399
angles: 90.00 90.00 90.00
Fractional coordinates of all 18 atoms:
Cl: 0.690 0.690 0.688
Cl: 0.730 0.730 0.328
Cl: 0.321 0.321 0.989
Cl: 0.679 0.679 0.989
Cl: 0.190 0.810 0.188
Cl: 0.179 0.821 0.489
Cl: 0.230 0.770 0.828
Cl: 0.270 0.270 0.328
Cl: 0.810 0.190 0.188
Cl: 0.821 0.179 0.489
Cl: 0.310 0.310 0.688
Cl: 0.770 0.230 0.828
Li: 0.000 0.000 0.659
Li: 0.500 0.500 0.159
Na: 0.000 0.000 0.996
Na: 0.500 0.500 0.496
Pd: 0.000 0.000 0.335
Pd: 0.500 0.500 0.835



Question: raw total energy of number 1 (FeMo2Br)?
Answer: -28.93 eV per cell